{"formula": "Sc2RhPb", "functional": "GGA-PBE", "state": "relaxed", "formation_enthalpy_0k_kj_per_mol_atoms": -50, "cell": [[-1.357, 3.225, 5.073], [-0.370, 0.232, 6.147], [3.782, 1.936, 1.923]], "species": ["Sc", "Pb", "Rh", "Sc"], "fractional_positions": [[0.749, 0.749, 0.751], [0.536, 0.536, 0.464], [0.259, 0.259, 0.240], [0.956, 0.956, 0.044]]}

{"formula": "HgAu", "functional": "GGA-PBE", "state": "relaxed", "formation_enthalpy_0k_kj_per_mol_atoms": 5, "cell": [[12.200, 0.000, 0.000], [0.000, 3.059, 0.000], [0.000, 0.000, 7.255]], "species": ["Au", "Hg", "Hg", "Au", "Hg", "Hg", "Hg", "Au", "Au", "Au", "Hg", "Au"], "fractional_positions": [[0.884, 0.000, 0.627], [0.000, 0.500, 0.938], [0.500, 0.000, 0.438], [0.000, 0.500, 0.334], [0.801, 0.000, 0.239], [0.301, 0.500, 0.739], [0.699, 0.500, 0.739], [0.500, 0.000, 0.834], [0.384, 0.500, 0.127], [0.116, 0.000, 0.627], [0.199, 0.000, 0.239], [0.616, 0.500, 0.127]]}

{"formula": "LaTcN2", "functional": "GGA-PBE", "state": "relaxed", "formation_energy_uncorrected_mev_per_atom": -894, "polymorph_energy_mev_per_atom": 0, "cell": [[3.541, 0.000, 0.000], [0.000, 3.996, 0.000], [0.000, 0.000, 3.996]], "species": ["N", "Tc", "La", "N"], "fractional_positions": [[0.000, 0.000, 0.500], [0.000, 0.000, 0.000], [0.500, 0.500, 0.500], [0.000, 0.500, 0.000]]}

{"formula": "Y2ScMn", "functional": "GGA-PBE", "state": "relaxed", "formation_enthalpy_0k_kj_per_mol_atoms": 13, "polymorph_energy_mev_per_atom": 28, "cell": [[-5.145, 3.542, -0.184], [-6.100, 0.405, 1.293], [-1.141, 2.462, 4.487]], "species": ["Y", "Y", "Sc", "Mn"], "fractional_positions": [[0.214, 0.214, 0.286], [0.003, 0.003, 0.997], [0.793, 0.793, 0.707], [0.490, 0.490, 0.510]]}

{"formula": "BeCdIr2", "functional": "GGA-PBE", "state": "relaxed", "formation_enthalpy_0k_kj_per_mol_atoms": 25, "polymorph_energy_mev_per_atom": 347, "cell": [[3.771, 0.000, 0.000], [0.000, 3.943, 0.000], [0.000, 0.000, 3.943]], "species": ["Cd", "Ir", "Be", "Ir"], "fractional_positions": [[0.500, 0.000, 0.500], [0.000, 0.500, 0.500], [0.500, 0.500, 0.000], [0.000, 0.000, 0.000]]}

{"formula": "Sc2ZnCo", "functional": "GGA-PBE", "state": "relaxed", "formation_enthalpy_0k_kj_per_mol_atoms": -11, "cell": [[4.494, 0.000, 0.000], [2.247, 3.892, 0.000], [2.247, 1.297, 3.669]], "species": ["Sc", "Sc", "Zn", "Co"], "fractional_positions": [[0.000, 0.000, 0.000], [0.250, 0.250, 0.250], [0.750, 0.750, 0.750], [0.500, 0.500, 0.500]]}

{"formula": "Nd2SmNi6", "functional": "GGA-PBE", "state": "relaxed", "formation_enthalpy_0k_kj_per_mol_atoms": -31, "cell": [[3.967, 0.000, 0.000], [0.000, 6.024, -3.478], [0.000, 0.000, 6.956]], "species": ["Ni", "Nd", "Ni", "Ni", "Ni", "Nd", "Ni", "Ni", "Sm"], "fractional_positions": [[0.500, 0.333, 0.333], [0.000, 0.667, 0.333], [0.500, 0.667, 0.000], [0.500, 0.333, 0.000], [0.500, 0.667, 0.667], [0.000, 0.333, 0.667], [0.500, 0.000, 0.333], [0.500, 0.000, 0.667], [0.000, 0.000, 0.000]]}

{"formula": "LaH8Ir2Pd", "functional": "GGA-PBE", "state": "relaxed", "total_energy_ev_per_cell": -56.91, "cell": [[-1.302, 2.513, -3.946], [-4.323, -0.791, -2.066], [-4.134, 4.478, 1.227]], "species": ["H", "H", "H", "Ir", "Pd", "H", "H", "H", "La", "H", "Ir", "H"], "fractional_positions": [[0.683, 0.082, 0.852], [0.811, 0.811, 0.568], [0.082, 0.382, 0.852], [0.711, 0.711, 0.867], [0.000, 0.000, 0.000], [0.382, 0.683, 0.852], [0.918, 0.618, 0.148], [0.618, 0.317, 0.148], [0.500, 0.500, 0.500], [0.317, 0.918, 0.148], [0.289, 0.289, 0.133], [0.189, 0.189, 0.432]]}

{"formula": "HoZr4Ga4", "functional": "GGA-PBE", "state": "relaxed", "formation_enthalpy_0k_kj_per_mol_atoms": -22, "cell": [[5.484, 0.000, 0.000], [0.000, 8.801, 0.000], [0.000, 0.000, 8.801]], "species": ["Zr", "Ga", "Zr", "Ga", "Zr", "Zr", "Ga", "Zr", "Ga", "Ga", "Zr", "Ho", "Zr", "Ho", "Ga", "Ga", "Zr", "Ga"], "fractional_positions": [[0.621, 0.900, 0.654], [0.611, 0.214, 0.644], [0.379, 0.654, 0.100], [0.889, 0.714, 0.144], [0.621, 0.100, 0.346], [0.121, 0.846, 0.400], [0.111, 0.144, 0.286], [0.879, 0.600, 0.846], [0.611, 0.786, 0.356], [0.389, 0.644, 0.786], [0.121, 0.154, 0.600], [0.000, 0.000, 0.000], [0.879, 0.400, 0.154], [0.500, 0.500, 0.500], [0.111, 0.856, 0.714], [0.389, 0.356, 0.214], [0.379, 0.346, 0.900], [0.889, 0.286, 0.856]]}

{"formula": "Co2TePb", "functional": "GGA-PBE", "state": "relaxed", "formation_energy_uncorrected_mev_per_atom": 316, "polymorph_energy_mev_per_atom": 191, "cell": [[4.200, -0.047, -0.098], [2.143, 3.613, -0.098], [2.257, 1.269, 5.144]], "species": ["Pb", "Co", "Co", "Te"], "fractional_positions": [[0.750, 0.750, 0.750], [0.548, 0.548, 0.356], [0.952, 0.952, 0.144], [0.250, 0.250, 0.250]]}

{"formula": "Tl2CrTc", "functional": "GGA-PBE", "state": "relaxed", "formation_enthalpy_0k_kj_per_mol_atoms": 87, "polymorph_energy_mev_per_atom": 485, "cell": [[-3.185, -3.375, 1.510], [1.196, -3.032, 3.632], [-2.146, 0.448, 4.359]], "species": ["Cr", "Tl", "Tl", "Tc"], "fractional_positions": [[0.500, 0.500, 0.500], [0.250, 0.250, 0.250], [0.000, 0.000, 0.000], [0.750, 0.750, 0.750]]}

{"formula": "PmPuTc2", "functional": "GGA-PBE", "state": "relaxed", "formation_enthalpy_0k_kj_per_mol_atoms": 23, "polymorph_energy_mev_per_atom": 129, "cell": [[-0.747, -1.705, 2.856], [-1.120, -3.940, -2.645], [4.624, -1.517, 0.303]], "species": ["Pm", "Tc", "Tc", "Pu"], "fractional_positions": [[0.500, 0.000, 0.000], [0.000, 0.000, 0.500], [0.000, 0.500, 0.000], [0.500, 0.500, 0.500]]}

Across the entries above, total magnetic moment takes the values 0.00; 0.00; 0.00; 2.64; 0.00; 0.00; 0.72; 0.00; 0.00; 1.33; 1.21; 3.32 μB/cell, respectively.